Here is a geometry-optimized Mn2As2Rh structure from Alexandria. Energies are from GGA-PBE.

Unit cell a=6.735 b=6.735 c=3.246 alpha=90.00 beta=90.00 gamma=90.00
Last column: magnetic moment on the atom in μB.
Atoms (fractional coordinates):
1 As 0.341 0.841 0.000  -0.14
2 As 0.841 0.659 0.000  -0.13
3 As 0.659 0.159 0.000  -0.14
4 As 0.159 0.341 0.000  -0.13
5 Mn 0.138 0.638 0.500  2.87
6 Mn 0.638 0.862 0.500  2.90
7 Mn 0.862 0.362 0.500  2.87
8 Mn 0.362 0.138 0.500  2.90
9 Rh 0.000 0.000 0.000  -0.05
10 Rh 0.500 0.500 0.000  -0.05

Values from the calculation:
* energy relative to the elements: -0.606 eV per formula unit
* E_tot: -7.1191 eV/atom
* symmetry: No. 127

=====

Here is a geometry-optimized MnAsRh2 structure from Alexandria. Energies are from GGA-PBE.

Unit cell a=2.974 b=3.854 c=5.186 alpha=90.00 beta=90.00 gamma=90.00
Last column: magnetic moment on the atom in μB.
Atoms (fractional coordinates):
1 As 0.000 0.000 0.464  -0.02
2 Mn 0.500 0.500 0.787  3.63
3 Rh 0.000 0.000 0.961  0.23
4 Rh 0.500 0.500 0.288  0.09

Values from the calculation:
* energy relative to the elements: -0.619 eV per formula unit
* E_tot: -7.2853 eV/atom
* symmetry: No. 25

=====

Here is a geometry-optimized MnAsRh2 structure from Alexandria. Energies are from GGA-PBE.

Unit cell a=4.348 b=4.348 c=4.348 alpha=60.00 beta=60.00 gamma=60.00
Last column: magnetic moment on the atom in μB.
Atoms (fractional coordinates):
1 As 0.500 0.500 0.500  -0.04
2 Mn 0.750 0.750 0.750  3.29
3 Rh 0.000 0.000 0.000  0.00
4 Rh 0.250 0.250 0.250  -0.08

Values from the calculation:
* energy relative to the elements: 0.013 eV per formula unit
* E_tot: -7.1272 eV/atom
* symmetry: No. 216

=====

Here is a geometry-optimized MnAs2Rh structure from Alexandria. Energies are from GGA-PBE.

Unit cell a=4.199 b=4.199 c=8.332 alpha=75.40 beta=75.40 gamma=90.00
Last column: magnetic moment on the atom in μB.
Atoms (fractional coordinates):
1 As 0.627 0.125 0.250  -0.07
2 As 0.123 0.625 0.250  -0.08
3 As 0.375 0.373 0.750  -0.08
4 As 0.875 0.877 0.750  -0.08
5 Mn 0.500 0.500 0.000  3.00
6 Mn 0.250 0.750 0.500  3.01
7 Rh 0.000 0.000 0.000  -0.09
8 Rh 0.750 0.250 0.500  -0.09

Values from the calculation:
* offset from the most stable computed form: 148 meV/atom
* energy relative to the elements: -0.365 eV per formula unit
* E_tot: -6.5462 eV/atom
* symmetry: No. 122

=====

- Look up the E_tot of the fourth one.
  -6.5462 eV/atom

=====

- energy relative to the elements of number 2 (MnAsRh2)?
  -0.619 eV per formula unit

=====

- Among the records above, which one has the lowest E_tot?
  number 2